<i>
TaCdCuGe: relaxed, PBE.

Geometry as extended XYZ:
```
4
Lattice="0.0000 3.2879 3.2879 3.2879 0.0000 3.2879 3.2879 3.2879 0.0000" Properties=species:S:1:pos:R:3 pbc="T T T"
Ta 0.0000 0.0000 0.0000
Cd 1.6440 1.6440 1.6440
Cu 4.9319 4.9319 4.9319
Ge 3.2879 3.2879 3.2879
```

- crystal system = cubic

=====

<ii>
TaCdCuGe: relaxed, PBE.

Geometry as extended XYZ:
```
4
Lattice="0.0000 3.2434 3.2434 3.2434 0.0000 3.2434 3.2434 3.2434 0.0000" Properties=species:S:1:pos:R:3 pbc="T T T"
Ta 0.0000 0.0000 0.0000
Cd 4.8651 4.8651 4.8651
Cu 3.2434 3.2434 3.2434
Ge 1.6217 1.6217 1.6217
```

- crystal system = cubic

=====

Which of them is least stable? Easy: <i>.

=====

<i>
ZnCdCuGe: relaxed, PBE.

Geometry as extended XYZ:
```
4
Lattice="0.0000 3.2600 3.2600 3.2600 0.0000 3.2600 3.2600 3.2600 0.0000" Properties=species:S:1:pos:R:3 pbc="T T T"
Zn 0.0000 0.0000 0.0000
Cd 4.8900 4.8900 4.8900
Cu 3.2600 3.2600 3.2600
Ge 1.6300 1.6300 1.6300
```

- crystal system = cubic

=====

<ii>
ZnCdCuGe: relaxed, PBE.

Geometry as extended XYZ:
```
4
Lattice="0.0000 3.2642 3.2642 3.2642 0.0000 3.2642 3.2642 3.2642 0.0000" Properties=species:S:1:pos:R:3 pbc="T T T"
Zn 0.0000 0.0000 0.0000
Cd 1.6321 1.6321 1.6321
Cu 4.8963 4.8963 4.8963
Ge 3.2642 3.2642 3.2642
```

- crystal system = cubic

=====

Which of them is least stable? Easy: <ii>.

=====

<i>
HfCdCuPb: relaxed, PBE.

Geometry as extended XYZ:
```
4
Lattice="0.0000 3.4644 3.4644 3.4644 0.0000 3.4644 3.4644 3.4644 0.0000" Properties=species:S:1:pos:R:3 pbc="T T T"
Hf 0.0000 0.0000 0.0000
Cd 5.1965 5.1965 5.1965
Cu 3.4644 3.4644 3.4644
Pb 1.7322 1.7322 1.7322
```

- crystal system = cubic

=====

<ii>
HfCdCuPb: relaxed, PBE.

Geometry as extended XYZ:
```
4
Lattice="0.0000 3.4853 3.4853 3.4853 0.0000 3.4853 3.4853 3.4853 0.0000" Properties=species:S:1:pos:R:3 pbc="T T T"
Hf 0.0000 0.0000 0.0000
Cd 1.7427 1.7427 1.7427
Cu 5.2280 5.2280 5.2280
Pb 3.4853 3.4853 3.4853
```

- crystal system = cubic

=====

Which of them is least stable? Easy: <ii>.

=====

<i>
HfCdCuSb: relaxed, PBE.

Geometry as extended XYZ:
```
4
Lattice="0.0000 3.4349 3.4349 3.4349 0.0000 3.4349 3.4349 3.4349 0.0000" Properties=species:S:1:pos:R:3 pbc="T T T"
Hf 0.0000 0.0000 0.0000
Cd 5.1523 5.1523 5.1523
Cu 3.4349 3.4349 3.4349
Sb 1.7174 1.7174 1.7174
```

- crystal system = cubic

=====

<ii>
HfCdCuSb: relaxed, PBE.

Geometry as extended XYZ:
```
4
Lattice="0.0000 3.4564 3.4564 3.4564 0.0000 3.4564 3.4564 3.4564 0.0000" Properties=species:S:1:pos:R:3 pbc="T T T"
Hf 0.0000 0.0000 0.0000
Cd 1.7282 1.7282 1.7282
Cu 5.1846 5.1846 5.1846
Sb 3.4564 3.4564 3.4564
```

- crystal system = cubic

=====

Which of them is least stable? Easy: <ii>.

=====

<i>
HfCdCuSi: relaxed, PBE.

Geometry as extended XYZ:
```
4
Lattice="0.0000 3.2468 3.2468 3.2468 0.0000 3.2468 3.2468 3.2468 0.0000" Properties=species:S:1:pos:R:3 pbc="T T T"
Hf 0.0000 0.0000 0.0000
Cd 4.8702 4.8702 4.8702
Cu 3.2468 3.2468 3.2468
Si 1.6234 1.6234 1.6234
```

- crystal system = cubic

=====

<ii>
HfCdCuSi: relaxed, PBE.

Geometry as extended XYZ:
```
4
Lattice="0.0000 3.2736 3.2736 3.2736 0.0000 3.2736 3.2736 3.2736 0.0000" Properties=species:S:1:pos:R:3 pbc="T T T"
Hf 0.0000 0.0000 0.0000
Cd 1.6368 1.6368 1.6368
Cu 4.9104 4.9104 4.9104
Si 3.2736 3.2736 3.2736
```

- crystal system = cubic

=====

Which of them is least stable? Easy: <ii>.

=====

<i>
HfTlCdCu: relaxed, PBE.

Geometry as extended XYZ:
```
4
Lattice="0.0000 3.4104 3.4104 3.4104 0.0000 3.4104 3.4104 3.4104 0.0000" Properties=species:S:1:pos:R:3 pbc="T T T"
Hf 0.0000 0.0000 0.0000
Tl 1.7052 1.7052 1.7052
Cd 5.1156 5.1156 5.1156
Cu 3.4104 3.4104 3.4104
```

- crystal system = cubic

=====

<ii>
HfTlCdCu: relaxed, PBE.

Geometry as extended XYZ:
```
4
Lattice="0.0000 3.4109 3.4109 3.4109 0.0000 3.4109 3.4109 3.4109 0.0000" Properties=species:S:1:pos:R:3 pbc="T T T"
Hf 0.0000 0.0000 0.0000
Tl 3.4109 3.4109 3.4109
Cd 1.7054 1.7054 1.7054
Cu 5.1163 5.1163 5.1163
```

- crystal system = cubic

=====

Which of them is least stable? Easy: <ii>.